<A>
AgRhSCl2: relaxed, PBE-GGA.

Cell lengths 4.827, 4.827, 5.095 Å; angles 90.00, 90.00, 90.00 degrees
Positions (direct):
Ag 0.000 0.000 0.000
Rh 0.500 0.500 0.500
S 0.000 0.000 0.500
Cl 0.000 0.500 0.000
Cl 0.500 0.000 0.000

Output
total moment: 2.5 Bohr magnetons per cell
DOS(E_F): 2.085 states/eV per atom

<B>
AgRhSCl2: relaxed, PBE-GGA.

Cell lengths 4.996, 4.996, 4.435 Å; angles 90.00, 90.00, 90.00 degrees
Positions (direct):
Ag 0.000 0.000 0.000
Rh 0.500 0.500 0.500
S 0.500 0.500 0.000
Cl 0.000 0.500 0.500
Cl 0.500 0.000 0.500

Output
total moment: 0.0 Bohr magnetons per cell
DOS(E_F): 0.796 states/eV per atom

Of them, <A> has the lowest stability.

<A>
AgRuCl2: relaxed, PBE-GGA.

Cell lengths 4.769, 4.769, 4.769 Å; angles 60.00, 60.00, 60.00 degrees
Positions (direct):
Ag 0.000 0.000 0.000
Ru 0.250 0.250 0.250
Cl 0.500 0.500 0.500
Cl 0.750 0.750 0.750

Output
total moment: 3.1 Bohr magnetons per cell
DOS(E_F): 1.031 states/eV per atom

<B>
AgRuCl2: relaxed, PBE-GGA.

Cell lengths 6.746, 6.746, 6.746 Å; angles 153.82, 145.15, 44.10 degrees
Positions (direct):
Ag 0.000 0.000 0.000
Ru 0.800 0.300 0.500
Cl 0.316 0.816 0.500
Cl 0.604 0.604 0.000

Output
total moment: 2.1 Bohr magnetons per cell
DOS(E_F): 0.794 states/eV per atom

Of them, <A> has the lowest stability.

<A>
AgRuCl4: relaxed, PBE-GGA.

Cell lengths 5.830, 5.830, 5.830 Å; angles 60.00, 60.00, 60.00 degrees
Positions (direct):
Ag 0.000 0.000 0.000
Ru 0.250 0.250 0.250
Cl 0.126 0.625 0.625
Cl 0.625 0.126 0.625
Cl 0.625 0.625 0.126
Cl 0.625 0.625 0.625

Output
total moment: 5.1 Bohr magnetons per cell
DOS(E_F): 1.614 states/eV per atom

<B>
AgRuCl4: relaxed, PBE-GGA.

Cell lengths 6.409, 6.409, 7.099 Å; angles 101.35, 101.35, 33.00 degrees
Positions (direct):
Ag 0.000 0.000 0.000
Ru 0.500 0.500 0.500
Cl 0.112 0.112 0.427
Cl 0.401 0.401 0.178
Cl 0.599 0.599 0.822
Cl 0.888 0.888 0.573

Output
total moment: 1.0 Bohr magnetons per cell
DOS(E_F): 0.750 states/eV per atom

Of them, <A> has the lowest stability.

<A>
AgRuCl3: relaxed, PBE-GGA.

Cell lengths 4.821, 4.821, 4.821 Å; angles 90.00, 90.00, 90.00 degrees
Positions (direct):
Ag 0.000 0.000 0.000
Ru 0.500 0.500 0.500
Cl 0.000 0.500 0.500
Cl 0.500 0.000 0.500
Cl 0.500 0.500 0.000

Output
total moment: 1.4 Bohr magnetons per cell
DOS(E_F): 1.663 states/eV per atom

<B>
AgRuCl3: relaxed, PBE-GGA.

Cell lengths 5.031, 5.031, 5.031 Å; angles 90.00, 90.00, 90.00 degrees
Positions (direct):
Ag 0.000 0.000 0.000
Ru 0.500 0.500 0.500
Cl 0.000 0.000 0.500
Cl 0.000 0.500 0.000
Cl 0.500 0.000 0.000

Output
total moment: 3.3 Bohr magnetons per cell
DOS(E_F): 1.724 states/eV per atom

Of them, <B> has the lowest stability.